A relaxed structure of MgZnAg2Hg, computed with GGA-PBE.

abc: 5.8715 4.6716 7.7010
angles: 90.00 106.03 90.00
With the nearest neighbours (Å) after each atom.
Fractional positions:
Mg1 0.0493 0.2500 0.1959  3 Hg 2.86-3.00, 3 Ag 2.92-2.95, 2 Zn 2.94-2.99
Mg2 0.9507 0.7500 0.8041  3 Hg 2.86-3.00, 3 Ag 2.92-2.95, 2 Zn 2.94-2.99
Zn1 0.4338 0.7500 0.7477  3 Hg 2.69-2.93, 4 Ag 2.69-2.76, 2 Mg 2.94-2.99
Zn2 0.5662 0.2500 0.2523  3 Hg 2.69-2.93, 4 Ag 2.69-2.76, 2 Mg 2.94-2.99
Ag1 0.0925 0.7500 0.4312  1 Zn 2.69, 6 Ag 2.90-2.96, 2 Mg 2.92, 1 Hg 2.93
Ag2 0.3981 0.2500 0.5540  3 Zn 2.75-2.76, 6 Ag 2.85-2.96, 1 Mg 2.95, 1 Hg 3.04
Ag3 0.6019 0.7500 0.4460  3 Zn 2.75-2.76, 6 Ag 2.85-2.96, 1 Mg 2.95, 1 Hg 3.04
Ag4 0.9075 0.2500 0.5688  1 Zn 2.69, 6 Ag 2.90-2.96, 2 Mg 2.92, 1 Hg 2.93
Hg1 0.2788 0.2500 0.9135  3 Zn 2.69-2.93, 3 Mg 2.86-3.00, 1 Ag 2.93
Hg2 0.7212 0.7500 0.0865  3 Zn 2.69-2.93, 3 Mg 2.86-3.00, 1 Ag 2.93

Output
- theoretical density (Mg/m³) = 8.28
- space group = P2_1/m (11)
- crystal system = monoclinic
- ΔH_f (0 K) (eV per atom) = -0.030

---

A relaxed structure of MgZnAgHg, computed with GGA-PBE.

abc: 4.2271 4.2271 9.3862
angles: 90.00 90.00 90.00
With the nearest neighbours (Å) after each atom.
Fractional positions:
Mg1 0.2500 0.2500 0.2303  1 Hg 2.92, 4 Ag 3.02, 4 Zn 3.03
Mg2 0.7500 0.7500 0.7697  1 Hg 2.92, 4 Ag 3.02, 4 Zn 3.03
Zn1 0.2500 0.2500 0.8219  1 Hg 2.63, 4 Ag 2.69
Zn2 0.7500 0.7500 0.1781  1 Hg 2.63, 4 Ag 2.69
Ag1 0.2500 0.7500 0.0000  4 Zn 2.69, 4 Ag 2.99
Ag2 0.7500 0.2500 0.0000  4 Zn 2.69, 4 Ag 2.99
Hg1 0.2500 0.2500 0.5418  1 Zn 2.63, 1 Mg 2.92
Hg2 0.7500 0.7500 0.4582  1 Zn 2.63, 1 Mg 2.92

Output
- theoretical density (Mg/m³) = 7.88
- space group = P4/nmm (129)
- crystal system = tetragonal
- ΔH_f (0 K) (eV per atom) = -0.049
- distance to the lowest polymorph of the same formula (meV per atom) = 29.6

---

A relaxed structure of MgZrAgHg, computed with GGA-PBE.

abc: 4.8528 4.8528 4.8528
angles: 60.00 60.00 60.00
With the nearest neighbours (Å) after each atom.
Fractional positions:
Mg1 0.0000 0.0000 0.0000  4 Hg 2.97, 4 Ag 2.97
Zr1 0.5000 0.5000 0.5000  4 Hg 2.97, 4 Ag 2.97
Ag1 0.2500 0.2500 0.2500  4 Zr 2.97, 4 Mg 2.97
Hg1 0.7500 0.7500 0.7500  4 Mg 2.97, 4 Zr 2.97

Output
- theoretical density (Mg/m³) = 8.71
- space group = F-43m (216)
- crystal system = cubic
- ΔH_f (0 K) (eV per atom) = -0.177

---

A relaxed structure of Mn2AgHg, computed with GGA-PBE.

abc: 5.5026 5.5026 5.5026
angles: 146.78 129.70 61.62
With the nearest neighbours (Å) after each atom.
Fractional positions:
Mn1 0.0000 0.0000 0.0000  2 Mn 2.77, 4 Ag 2.82, 2 Hg 2.86
Mn2 0.7593 0.2593 0.5000  2 Mn 2.77, 2 Ag 2.81, 4 Hg 2.82
Ag1 0.5126 0.5126 0.0000  6 Mn 2.81-2.82, 2 Hg 2.92, 2 Ag 3.15
Hg1 0.2522 0.7522 0.5000  6 Mn 2.82-2.86, 2 Ag 2.92, 2 Hg 3.15

Output
- theoretical density (Mg/m³) = 9.99
- space group = Imm2 (44)
- crystal system = orthorhombic
- ΔH_f (0 K) (eV per atom) = 0.373

---

A relaxed structure of Mn2AgHg, computed with GGA-PBE.

abc: 4.6325 4.6325 4.6325
angles: 60.00 60.00 60.00
With the nearest neighbours (Å) after each atom.
Fractional positions:
Mn1 0.0000 0.0000 0.0000  4 Hg 2.84, 4 Mn 2.84
Mn2 0.2500 0.2500 0.2500  4 Mn 2.84, 4 Ag 2.84
Ag1 0.5000 0.5000 0.5000  4 Hg 2.84, 4 Mn 2.84
Hg1 0.7500 0.7500 0.7500  4 Mn 2.84, 4 Ag 2.84

Output
- theoretical density (Mg/m³) = 9.88
- space group = F-43m (216)
- crystal system = cubic
- ΔH_f (0 K) (eV per atom) = 0.407

---

A relaxed structure of MnAgHg3, computed with GGA-PBE.

abc: 5.1908 5.1908 5.1908
angles: 90.00 90.00 90.00
With the nearest neighbours (Å) after each atom.
Fractional positions:
Mn1 0.0000 0.0000 0.0000  6 Hg 2.60
Ag1 0.5000 0.5000 0.5000  12 Hg 3.67
Hg1 0.0000 0.0000 0.5000  2 Mn 2.60
Hg2 0.0000 0.5000 0.0000  2 Mn 2.60
Hg3 0.5000 0.0000 0.0000  2 Mn 2.60

Output
- theoretical density (Mg/m³) = 9.08
- space group = Pm-3m (221)
- crystal system = cubic
- ΔH_f (0 K) (eV per atom) = 0.554
- distance to the lowest polymorph of the same formula (meV per atom) = 0.0

---

A relaxed structure of Mn2AgHg, computed with GGA-PBE.

abc: 5.0676 5.0676 5.0676
angles: 132.63 132.63 69.24
With the nearest neighbours (Å) after each atom.
Fractional positions:
Mn1 0.0000 0.0000 0.0000  4 Hg 2.88, 4 Mn 2.91, 4 Ag 2.91
Mn2 0.7500 0.2500 0.5000  4 Ag 2.88, 4 Hg 2.91, 4 Mn 2.91
Ag1 0.2500 0.7500 0.5000  8 Mn 2.88-2.91, 4 Hg 2.91
Hg1 0.5000 0.5000 0.0000  8 Mn 2.88-2.91, 4 Ag 2.91

Output
- theoretical density (Mg/m³) = 10.05
- space group = I-4m2 (119)
- crystal system = tetragonal
- ΔH_f (0 K) (eV per atom) = 0.369

---

A relaxed structure of Mn2AgHg, computed with GGA-PBE.

abc: 5.0563 5.0563 4.8784
angles: 101.96 101.96 34.77
With the nearest neighbours (Å) after each atom.
Fractional positions:
Mn1 0.0000 0.0000 0.0000  5 Mn 2.83-3.07, 3 Ag 2.84-2.85, 4 Hg 2.85-2.89
Mn2 0.7394 0.7394 0.2643  4 Ag 2.82-2.92, 5 Mn 2.83-3.07, 3 Hg 2.85-2.88
Ag1 0.2500 0.2500 0.7811  7 Mn 2.82-2.92, 3 Hg 2.98-2.99, 2 Ag 3.02
Hg1 0.4917 0.4917 0.4922  7 Mn 2.85-2.89, 3 Ag 2.98-2.99, 2 Hg 3.02

Output
- theoretical density (Mg/m³) = 10.00
- space group = Cm (8)
- crystal system = monoclinic
- ΔH_f (0 K) (eV per atom) = 0.352

---

A relaxed structure of Mn2AgHg, computed with GGA-PBE.

abc: 4.8400 4.8400 3.0464
angles: 90.00 90.00 102.88
With the nearest neighbours (Å) after each atom.
Fractional positions:
Mn1 0.0000 0.5000 0.0000  4 Hg 2.86, 4 Ag 2.86, 4 Mn 3.02-3.05
Mn2 0.5000 0.0000 0.0000  4 Hg 2.86, 4 Ag 2.86, 4 Mn 3.02-3.05
Ag1 0.0000 0.0000 0.5000  8 Mn 2.86, 2 Hg 3.02, 2 Ag 3.05
Hg1 0.5000 0.5000 0.5000  8 Mn 2.86, 2 Ag 3.02, 2 Hg 3.05

Output
- theoretical density (Mg/m³) = 9.99
- space group = Cmmm (65)
- crystal system = orthorhombic
- ΔH_f (0 K) (eV per atom) = 0.332

---

A relaxed structure of Mn2AgHg, computed with GGA-PBE.

abc: 5.9406 5.9406 5.9406
angles: 102.86 102.86 123.70
With the nearest neighbours (Å) after each atom.
Fractional positions:
Mn1 0.1200 0.6250 0.9950  2 Ag 2.69, 2 Hg 2.74, 2 Mn 2.80
Mn2 0.3750 0.3700 0.4950  2 Ag 2.69, 2 Hg 2.74, 2 Mn 2.80
Mn3 0.6300 0.1250 0.0050  2 Ag 2.69, 2 Hg 2.74, 2 Mn 2.80
Mn4 0.8750 0.8800 0.5050  2 Ag 2.69, 2 Hg 2.74, 2 Mn 2.80
Ag1 0.0000 0.0000 0.0000  4 Mn 2.69, 2 Hg 2.80
Ag2 0.7500 0.2500 0.5000  4 Mn 2.69, 2 Hg 2.80
Hg1 0.2500 0.7500 0.5000  4 Mn 2.74, 2 Ag 2.80
Hg2 0.5000 0.5000 0.0000  4 Mn 2.74, 2 Ag 2.80

Output
- theoretical density (Mg/m³) = 9.03
- space group = I-42d (122)
- crystal system = tetragonal
- ΔH_f (0 K) (eV per atom) = 0.637

---

A relaxed structure of Mn2AgHg, computed with GGA-PBE.

abc: 3.0734 4.7160 4.8262
angles: 90.00 90.00 90.00
With the nearest neighbours (Å) after each atom.
Fractional positions:
Mn1 0.0000 0.0000 0.0000  4 Hg 2.85-2.87, 4 Ag 2.85, 4 Mn 3.06-3.07
Mn2 0.0000 0.5000 0.4028  4 Ag 2.85-2.87, 4 Hg 2.86, 4 Mn 3.06-3.07
Ag1 0.5000 0.5000 0.9054  8 Mn 2.85-2.87, 2 Hg 3.06, 2 Ag 3.07
Hg1 0.5000 0.0000 0.5025  8 Mn 2.85-2.87, 2 Ag 3.06, 2 Hg 3.07

Output
- theoretical density (Mg/m³) = 9.93
- space group = Pmm2 (25)
- crystal system = orthorhombic
- ΔH_f (0 K) (eV per atom) = 0.326

---

A relaxed structure of MnAg4Hg, computed with GGA-PBE.

abc: 5.4955 5.4955 5.4955
angles: 60.00 60.00 60.00
With the nearest neighbours (Å) after each atom.
Fractional positions:
Mn1 0.0000 0.0000 0.0000  12 Ag 3.22, 4 Hg 3.37
Ag1 0.1242 0.6253 0.6253  6 Ag 2.74-2.75
Ag2 0.6253 0.1242 0.6253  6 Ag 2.74-2.75
Ag3 0.6253 0.6253 0.1242  6 Ag 2.74-2.75
Ag4 0.6253 0.6253 0.6253  6 Ag 2.74-2.75
Hg1 0.2500 0.2500 0.2500  12 Ag 3.22, 4 Mn 3.37

Output
- theoretical density (Mg/m³) = 9.72
- space group = F-43m (216)
- crystal system = cubic
- ΔH_f (0 K) (eV per atom) = 0.295

---

Uncorrected energy values, unit eV/cell, following the record order: -18.0; -12.4; -14.0; -20.0; -19.9; -10.2; -20.0; -20.1; -20.2; -37.9; -20.2; -19.1.